Entry 1:
A plane-wave DFT calculation with GGA-PBE was carried out for a relaxed structure of Tb4Er3Sc2.

Structure (POSCAR):
```
Tb4Er3Sc2
1.0
5.872 0.070 0.461
0.595 9.192 3.566
0.211 -0.192 9.873
Tb Er Sc
8 6 4
direct
0.546 0.049 0.821 Tb
0.954 0.179 0.951 Tb
0.454 0.951 0.179 Tb
0.046 0.821 0.049 Tb
0.605 0.827 0.614 Tb
0.895 0.386 0.173 Tb
0.395 0.173 0.386 Tb
0.105 0.614 0.827 Tb
0.078 0.983 0.676 Er
0.422 0.324 0.017 Er
0.922 0.017 0.324 Er
0.578 0.676 0.983 Er
0.250 0.357 0.643 Er
0.750 0.643 0.357 Er
0.201 0.712 0.486 Sc
0.299 0.514 0.288 Sc
0.799 0.288 0.514 Sc
0.701 0.486 0.712 Sc
```

Properties
SG: C2/c (15)
volume: 268 Å³/f.u.
spin magnetization: 0.00 Bohr magnetons per cell
excess energy over the best structure of this formula in the dataset: 0.041 eV per atom


Entry 2:
A plane-wave DFT calculation with GGA-PBE was carried out for a relaxed structure of Ga2Mo2Au.

Structure (POSCAR):
```
Ga2Mo2Au
1.0
6.706 0.000 0.000
0.000 6.706 0.000
0.000 0.000 3.547
Mo Au Ga
4 2 4
direct
0.171 0.671 0.500 Mo
0.671 0.829 0.500 Mo
0.829 0.329 0.500 Mo
0.329 0.171 0.500 Mo
0.000 0.000 0.000 Au
0.500 0.500 0.000 Au
0.370 0.870 0.000 Ga
0.870 0.630 0.000 Ga
0.630 0.130 0.000 Ga
0.130 0.370 0.000 Ga
```

Properties
SG: P4/mbm (127)
volume: 80 Å³/f.u.
total energy: -6.050 eV per atom
spin magnetization: 0.00 Bohr magnetons per cell


Entry 3:
A plane-wave DFT calculation with GGA-PBE was carried out for a relaxed structure of CaRuW2.

Structure (POSCAR):
```
CaRuW2
1.0
3.200 0.000 0.000
0.000 3.200 0.000
0.000 0.000 7.305
Ru Ca W
1 1 2
direct
0.500 0.500 0.802 Ru
0.000 0.000 0.508 Ca
0.000 0.000 0.994 W
0.500 0.500 0.196 W
```

Properties
SG: P4mm (99)
volume: 75 Å³/f.u.
spin magnetization: 0.00 Bohr magnetons per cell
excess energy over the best structure of this formula in the dataset: 0.000 eV per atom


Entry 4:
A plane-wave DFT calculation with GGA-PBE was carried out for a relaxed structure of RbZn.

Structure (POSCAR):
```
RbZn
1.0
6.266 0.000 0.000
-3.133 5.427 0.000
0.000 0.000 7.276
Rb Zn
2 2
direct
0.333 0.667 0.750 Rb
0.667 0.333 0.250 Rb
0.333 0.667 0.250 Zn
0.667 0.333 0.750 Zn
```

Properties
SG: P6_3/mmc (194)
volume: 124 Å³/f.u.
total energy: -0.716 eV per atom
spin magnetization: 0.00 Bohr magnetons per cell


Entry 5:
A plane-wave DFT calculation with GGA-PBE was carried out for a relaxed structure of MnCrTc.

Structure (POSCAR):
```
MnCrTc
1.0
3.641 0.000 0.000
0.000 3.677 0.000
-1.820 0.000 5.595
Mn Cr Tc
2 2 2
direct
0.252 0.250 0.503 Mn
0.748 0.750 0.497 Mn
0.594 0.250 0.188 Cr
0.406 0.750 0.812 Cr
0.908 0.250 0.816 Tc
0.092 0.750 0.184 Tc
```

Properties
SG: Cmcm (63)
volume: 37 Å³/f.u.
spin magnetization: 0.01 Bohr magnetons per cell
excess energy over the best structure of this formula in the dataset: 0.179 eV per atom


Entry 6:
A plane-wave DFT calculation with GGA-PBE was carried out for a relaxed structure of Sc2Tc2Sn.

Structure (POSCAR):
```
Sc2Tc2Sn
1.0
6.813 0.000 0.000
0.000 6.813 0.000
0.000 0.000 4.268
Sc Sn Tc
4 2 4
direct
0.175 0.675 0.500 Sc
0.675 0.825 0.500 Sc
0.825 0.325 0.500 Sc
0.325 0.175 0.500 Sc
0.000 0.000 0.000 Sn
0.500 0.500 0.000 Sn
0.378 0.878 0.000 Tc
0.878 0.622 0.000 Tc
0.622 0.122 0.000 Tc
0.122 0.378 0.000 Tc
```

Properties
SG: P4/mbm (127)
volume: 99 Å³/f.u.
total energy: -7.708 eV per atom
spin magnetization: 0.00 Bohr magnetons per cell


Entry 7:
A plane-wave DFT calculation with GGA-PBE was carried out for a relaxed structure of TcP2Os.

Structure (POSCAR):
```
TcP2Os
1.0
5.366 0.000 0.000
0.000 5.366 0.000
2.683 2.683 5.047
P Os Tc
4 2 2
direct
0.631 0.125 0.250 P
0.119 0.625 0.250 P
0.375 0.369 0.750 P
0.875 0.881 0.750 P
0.000 0.000 0.000 Os
0.750 0.250 0.500 Os
0.500 0.500 0.000 Tc
0.250 0.750 0.500 Tc
```

Properties
SG: I-42d (122)
volume: 73 Å³/f.u.
spin magnetization: 0.00 Bohr magnetons per cell
excess energy over the best structure of this formula in the dataset: 0.300 eV per atom


Entry 8:
A plane-wave DFT calculation with GGA-PBE was carried out for a relaxed structure of Sm3AlHg.

Structure (POSCAR):
```
Sm3AlHg
1.0
-2.833 1.245 -2.095
-3.638 -3.119 6.399
0.525 9.454 4.907
Sm Al Hg
6 2 2
direct
0.088 0.177 0.750 Sm
0.912 0.823 0.250 Sm
0.352 0.704 0.561 Sm
0.648 0.296 0.439 Sm
0.648 0.296 0.061 Sm
0.352 0.704 0.939 Sm
0.000 0.000 0.500 Al
0.000 0.000 0.000 Al
0.251 0.502 0.250 Hg
0.749 0.498 0.750 Hg
```

Properties
SG: Cmcm (63)
volume: 155 Å³/f.u.
spin magnetization: 0.00 Bohr magnetons per cell
excess energy over the best structure of this formula in the dataset: 0.148 eV per atom


Entry 9:
A plane-wave DFT calculation with GGA-PBE was carried out for a relaxed structure of K2RbIn.

Structure (POSCAR):
```
K2RbIn
1.0
-0.106 0.131 -4.232
1.918 -3.025 -2.261
-12.471 -9.305 -2.096
K Rb In
2 1 1
direct
0.076 0.076 0.771 K
0.924 0.924 0.229 K
0.500 0.500 0.500 Rb
0.000 0.000 0.000 In
```

Properties
SG: R-3m (166)
volume: 241 Å³/f.u.
total energy: -1.237 eV per atom
spin magnetization: 0.00 Bohr magnetons per cell


Entry 10:
A plane-wave DFT calculation with GGA-PBE was carried out for a relaxed structure of LaEr2Hg4.

Structure (POSCAR):
```
LaEr2Hg4
1.0
-1.656 2.761 -4.150
3.203 -2.762 -3.115
-5.287 -4.862 -1.126
Er Hg La
2 4 1
direct
0.000 0.000 0.000 Er
0.500 0.500 0.500 Er
0.500 0.000 0.274 Hg
0.000 0.500 0.726 Hg
0.500 0.000 0.726 Hg
0.000 0.500 0.274 Hg
0.500 0.500 0.000 La
```

Properties
SG: P4/mmm (123)
volume: 201 Å³/f.u.
total energy: -2.484 eV per atom
spin magnetization: 0.14 Bohr magnetons per cell